Pm7PbS5: optimized geometry, GGA-PBE.

The calculated total energy comes out at -6.1009 eV per atom. For the magnetization, the calculation gives 0.00 μB per formula unit. Its density of states at the Fermi level is 31.89 states/eV/cell. The value obtained for the density is 6.91 g cm⁻³. Its formation energy without anion corrections is -21.71 eV per formula unit. Its volume is 1328.95 Å³ per cell.

Unit cell a=4.093 b=13.351 c=24.320 alpha=90.00 beta=90.00 gamma=90.00
Space group Cmcm (No. 63)
Inequivalent atoms, fractional coordinates:
Pm (0.000, 0.017, 0.250)
Pm (0.000, 0.136, 0.537)
Pm (0.000, 0.324, 0.171)
Pm (0.000, 0.408, 0.609)
Pb (0.000, 0.300, 0.750)
S (0.000, 0.044, 0.640)
S (0.000, 0.227, 0.069)
S (0.000, 0.500, 0.000)